[1]
The following is a DFT calculation (PBE) of a relaxed structure of Ac4PrCd5.

a b c (Å): 4.043 4.043 20.163
angles (deg): 90.00 90.00 90.00
Fractional coordinates of all 10 atoms:
Ac: 0.000 0.000 0.102
Ac: 0.000 0.000 0.307
Ac: 0.000 0.000 0.693
Ac: 0.000 0.000 0.898
Pr: 0.000 0.000 0.500
Cd: 0.500 0.500 0.000
Cd: 0.500 0.500 0.204
Cd: 0.500 0.500 0.411
Cd: 0.500 0.500 0.589
Cd: 0.500 0.500 0.796

Energy of formation from the pure elements, eV/atom: -0.30
DOS(E_F), states/eV/atom: 1.393

[2]
The following is a DFT calculation (PBE) of a relaxed structure of P2SBrO.

a b c (Å): 4.944 4.944 3.818
angles (deg): 90.00 90.00 90.00
Fractional coordinates of all 5 atoms:
P: 0.000 0.500 0.000
P: 0.500 0.000 0.000
S: 0.000 0.000 0.500
Br: 0.500 0.500 0.000
O: 0.500 0.500 0.500

Excess energy over the best structure of this formula in the dataset, eV/atom: 0.655
E_form (uncorrected), eV per atom: 1.357
DOS(E_F), states/eV/atom: 0.736

[3]
The following is a DFT calculation (PBE) of a relaxed structure of Mg2VCoC.

a b c (Å): 4.242 4.242 3.982
angles (deg): 90.00 90.00 90.00
Fractional coordinates of all 5 atoms:
Mg: 0.000 0.500 0.000
Mg: 0.500 0.000 0.000
V: 0.000 0.000 0.500
Co: 0.500 0.500 0.500
C: 0.000 0.000 0.000

Excess energy over the best structure of this formula in the dataset, eV/atom: 0.000
Energy of formation from the pure elements, eV/atom: 0.40
DOS(E_F), states/eV/atom: 0.925

[4]
The following is a DFT calculation (PBE) of a relaxed structure of TaReSi2.

a b c (Å): 4.422 4.422 4.422
angles (deg): 60.00 60.00 60.00
Fractional coordinates of all 4 atoms:
Ta: 0.000 0.000 0.000
Re: 0.750 0.750 0.750
Si: 0.250 0.250 0.250
Si: 0.500 0.500 0.500

E_form (uncorrected), eV per atom: 0.063
DOS(E_F), states/eV/atom: 0.381